--- w ---
# BaSr2Al2

BaSr2Al2 after structural relaxation (GGA-PBE, Alexandria via LeMat-Bulk).

* space-group type: I4/mmm (139)

Cell lengths 7.363, 7.363, 7.363 Å; angles 132.82, 132.82, 68.93 degrees
Sites, in units of the cell vectors:
Ba (0.000, 0.000, 0.000)
Sr (0.347, 0.347, 0.000)
Sr (0.653, 0.653, 0.000)
Al (0.250, 0.750, 0.500)
Al (0.750, 0.250, 0.500)

=====

--- x ---
# BaSr2Al2

BaSr2Al2 after structural relaxation (GGA-PBE, Alexandria via LeMat-Bulk).

* space-group type: P4/mbm (127)

Cell lengths 8.682, 8.682, 5.045 Å; angles 90.00, 90.00, 90.00 degrees
Sites, in units of the cell vectors:
Ba (0.000, 0.000, 0.000)
Ba (0.500, 0.500, 0.000)
Sr (0.169, 0.331, 0.500)
Sr (0.331, 0.831, 0.500)
Sr (0.669, 0.169, 0.500)
Sr (0.831, 0.669, 0.500)
Al (0.107, 0.607, 0.000)
Al (0.393, 0.107, 0.000)
Al (0.607, 0.893, 0.000)
Al (0.893, 0.393, 0.000)

=====

--- y ---
# BaSr2Al2

BaSr2Al2 after structural relaxation (GGA-PBE, Alexandria via LeMat-Bulk).

* space-group type: P4/mbm (127)

Cell lengths 9.757, 9.757, 3.687 Å; angles 90.00, 90.00, 90.00 degrees
Sites, in units of the cell vectors:
Ba (0.000, 0.000, 0.000)
Ba (0.500, 0.500, 0.000)
Sr (0.129, 0.371, 0.000)
Sr (0.371, 0.871, 0.000)
Sr (0.629, 0.129, 0.000)
Sr (0.871, 0.629, 0.000)
Al (0.169, 0.669, 0.500)
Al (0.331, 0.169, 0.500)
Al (0.669, 0.831, 0.500)
Al (0.831, 0.331, 0.500)

=====

Stability summary: most stable x, least stable w.

=====

--- w ---
# Ba2SrAl6

Ba2SrAl6 after structural relaxation (GGA-PBE, Alexandria via LeMat-Bulk).

* space-group type: P-3m1 (164)

Cell lengths 6.557, 6.557, 6.808 Å; angles 90.00, 90.00, 120.00 degrees
Sites, in units of the cell vectors:
Ba (0.333, 0.667, 0.143)
Ba (0.667, 0.333, 0.857)
Sr (0.000, 0.000, 0.000)
Al (0.192, 0.384, 0.627)
Al (0.192, 0.808, 0.627)
Al (0.384, 0.192, 0.373)
Al (0.616, 0.808, 0.627)
Al (0.808, 0.192, 0.373)
Al (0.808, 0.616, 0.373)

=====

--- x ---
# Ba2SrAl6

Ba2SrAl6 after structural relaxation (GGA-PBE, Alexandria via LeMat-Bulk).

* space-group type: Immm (71)

Cell lengths 8.862, 8.862, 8.862 Å; angles 156.23, 103.92, 81.04 degrees
Sites, in units of the cell vectors:
Ba (0.135, 0.135, 0.000)
Ba (0.865, 0.865, 0.000)
Sr (0.500, 0.000, 0.500)
Al (0.109, 0.318, 0.791)
Al (0.218, 0.500, 0.718)
Al (0.473, 0.682, 0.791)
Al (0.527, 0.318, 0.209)
Al (0.782, 0.500, 0.282)
Al (0.891, 0.682, 0.209)

=====

Stability summary: most stable w, least stable x.